Record 1
# YMoS

YMoS after structural relaxation (PBE, Alexandria).

The structure in CIF format:
```
data_YMoS
_chemical_formula_sum 'Y2 Mo2 S2'
_cell_length_a 3.5049
_cell_length_b 3.8354
_cell_length_c 9.2839
_cell_angle_alpha 84.11
_cell_angle_beta 83.32
_cell_angle_gamma 89.72
_symmetry_space_group_name_H-M 'P 1'
_symmetry_Int_Tables_number 1
_symmetry_space_group_name_Hall 'P 1'
loop_
_atom_site_label
_atom_site_type_symbol
_atom_site_fract_x
_atom_site_fract_y
_atom_site_fract_z
_atom_site_occupancy
Y1 Y 0.0000 0.0000 0.0000 1
Y2 Y 0.1207 0.5879 0.6222 1
Mo1 Mo 0.1722 0.1666 0.3311 1
Mo2 Mo 0.6627 0.6777 0.3318 1
S1 S 0.4714 0.4781 0.0909 1
S2 S 0.5775 0.0550 0.7576 1
```

## Properties
The calculation puts the distance to the lowest polymorph of the same formula at 0.2163 eV/atom. As for the density of states at the Fermi level: 5.60 states/eV per cell. Its density is 5.84 Mg/m³.

=====

Record 2
# YMoS

YMoS after structural relaxation (PBE, Alexandria).

The structure in CIF format:
```
data_YMoS
_chemical_formula_sum 'Y2 Mo2 S2'
_cell_length_a 3.7167
_cell_length_b 3.6939
_cell_length_c 8.7163
_cell_angle_alpha 90.00
_cell_angle_beta 92.16
_cell_angle_gamma 90.00
_symmetry_space_group_name_H-M 'P 1 21/m 1'
_symmetry_Int_Tables_number 11
_symmetry_space_group_name_Hall '-P 2yb'
loop_
_atom_site_label
_atom_site_type_symbol
_atom_site_fract_x
_atom_site_fract_y
_atom_site_fract_z
_atom_site_occupancy
Y1 Y 0.2249 0.2500 0.2984 1
Mo1 Mo 0.3036 0.2500 0.9364 1
S1 S 0.2671 0.2500 0.6417 1
```

## Properties
The calculation puts the distance to the lowest polymorph of the same formula at 0.0000 eV/atom. As for the density of states at the Fermi level: 2.78 states/eV per cell. Its density is 6.02 Mg/m³.

=====

Record 3
# YMoS

YMoS after structural relaxation (PBE, Alexandria).

The structure in CIF format:
```
data_YMoS
_chemical_formula_sum 'Y4 Mo4 S4'
_cell_length_a 9.4940
_cell_length_b 3.6700
_cell_length_c 8.1185
_cell_angle_alpha 90.00
_cell_angle_beta 117.01
_cell_angle_gamma 90.00
_symmetry_space_group_name_H-M 'C 1 m 1'
_symmetry_Int_Tables_number 8
_symmetry_space_group_name_Hall 'C -2y'
loop_
_atom_site_label
_atom_site_type_symbol
_atom_site_fract_x
_atom_site_fract_y
_atom_site_fract_z
_atom_site_occupancy
Y1 Y 0.0000 0.0000 0.0000 1
Y2 Y 0.1432 0.0000 0.6501 1
Mo1 Mo 0.1119 0.5000 0.3317 1
Mo2 Mo 0.3059 0.0000 0.3760 1
S1 S 0.3220 0.0000 0.0746 1
S2 S 0.4582 0.0000 0.7233 1
```

## Properties
The calculation puts the distance to the lowest polymorph of the same formula at 0.2290 eV/atom. As for the density of states at the Fermi level: 5.06 states/eV per cell. Its density is 5.72 Mg/m³.

=====

Record 4
# YMoS

YMoS after structural relaxation (PBE, Alexandria).

The structure in CIF format:
```
data_YMoS
_chemical_formula_sum 'Y4 Mo4 S4'
_cell_length_a 3.5404
_cell_length_b 3.9138
_cell_length_c 17.4587
_cell_angle_alpha 90.00
_cell_angle_beta 90.00
_cell_angle_gamma 90.00
_symmetry_space_group_name_H-M 'A m m 2'
_symmetry_Int_Tables_number 38
_symmetry_space_group_name_Hall 'A 2 -2'
loop_
_atom_site_label
_atom_site_type_symbol
_atom_site_fract_x
_atom_site_fract_y
_atom_site_fract_z
_atom_site_occupancy
Y1 Y 0.0000 0.0000 0.0000 1
Y2 Y 0.0000 0.0000 0.3027 1
Mo1 Mo 0.0000 0.0000 0.6449 1
Mo2 Mo 0.5000 0.0000 0.1492 1
S1 S 0.5000 0.0000 0.4269 1
S2 S 0.5000 0.0000 0.7523 1
```

## Properties
The calculation puts the distance to the lowest polymorph of the same formula at 0.1897 eV/atom. As for the density of states at the Fermi level: 8.15 states/eV per cell. Its density is 5.96 Mg/m³.

=====

Record 5
# ZnMo2S2

ZnMo2S2 after structural relaxation (PBE, Alexandria).

The structure in CIF format:
```
data_ZnMo2S2
_chemical_formula_sum 'Zn2 Mo4 S4'
_cell_length_a 6.9922
_cell_length_b 6.9922
_cell_length_c 3.0542
_cell_angle_alpha 90.00
_cell_angle_beta 90.00
_cell_angle_gamma 90.00
_symmetry_space_group_name_H-M 'P 4/m b m'
_symmetry_Int_Tables_number 127
_symmetry_space_group_name_Hall '-P 4 2ab'
loop_
_atom_site_label
_atom_site_type_symbol
_atom_site_fract_x
_atom_site_fract_y
_atom_site_fract_z
_atom_site_occupancy
Zn1 Zn 0.0000 0.0000 0.0000 1
Mo1 Mo 0.1511 0.3489 0.0000 1
S1 S 0.1430 0.6430 0.5000 1
```

## Properties
The calculation puts the distance to the lowest polymorph of the same formula at 0.0000 eV/atom. As for the density of states at the Fermi level: 9.87 states/eV per cell. Its density is 7.15 Mg/m³.

=====

Record 6
# ZnMoS2

ZnMoS2 after structural relaxation (PBE, Alexandria).

The structure in CIF format:
```
data_ZnMoS2
_chemical_formula_sum 'Zn3 Mo3 S6'
_cell_length_a 3.1601
_cell_length_b 3.1601
_cell_length_c 25.0621
_cell_angle_alpha 90.00
_cell_angle_beta 90.00
_cell_angle_gamma 120.00
_symmetry_space_group_name_H-M 'R -3 m'
_symmetry_Int_Tables_number 166
_symmetry_space_group_name_Hall '-R 3 2"'
loop_
_atom_site_label
_atom_site_type_symbol
_atom_site_fract_x
_atom_site_fract_y
_atom_site_fract_z
_atom_site_occupancy
Zn1 Zn 0.0000 0.0000 0.0000 1
Mo1 Mo 0.0000 0.0000 0.5000 1
S1 S 0.0000 0.0000 0.1026 1
```

## Properties
As for the density of states at the Fermi level: 7.12 states/eV per cell. Its density is 5.18 Mg/m³.

=====

Record 7
# ZnMoS2

ZnMoS2 after structural relaxation (PBE, Alexandria).

The structure in CIF format:
```
data_ZnMoS2
_chemical_formula_sum 'Zn3 Mo3 S6'
_cell_length_a 3.3007
_cell_length_b 3.3007
_cell_length_c 22.8600
_cell_angle_alpha 90.00
_cell_angle_beta 90.00
_cell_angle_gamma 120.00
_symmetry_space_group_name_H-M 'R -3 m'
_symmetry_Int_Tables_number 166
_symmetry_space_group_name_Hall '-R 3 2"'
loop_
_atom_site_label
_atom_site_type_symbol
_atom_site_fract_x
_atom_site_fract_y
_atom_site_fract_z
_atom_site_occupancy
Zn1 Zn 0.0000 0.0000 0.0000 1
Mo1 Mo 0.0000 0.0000 0.5000 1
S1 S 0.0000 0.0000 0.4002 1
```

## Properties
As for the density of states at the Fermi level: 9.77 states/eV per cell. Its density is 5.21 Mg/m³.

=====

Record 8
# ZnMoS2

ZnMoS2 after structural relaxation (PBE, Alexandria).

The structure in CIF format:
```
data_ZnMoS2
_chemical_formula_sum 'Zn4 Mo4 S8'
_cell_length_a 5.6324
_cell_length_b 5.6324
_cell_length_c 10.0772
_cell_angle_alpha 90.00
_cell_angle_beta 90.00
_cell_angle_gamma 90.00
_symmetry_space_group_name_H-M 'I -4 2 d'
_symmetry_Int_Tables_number 122
_symmetry_space_group_name_Hall 'I -4 2bw'
loop_
_atom_site_label
_atom_site_type_symbol
_atom_site_fract_x
_atom_site_fract_y
_atom_site_fract_z
_atom_site_occupancy
Zn1 Zn 0.0000 0.0000 0.0000 1
Mo1 Mo 0.0000 0.0000 0.5000 1
S1 S 0.2499 0.2500 0.1250 1
```

## Properties
As for the density of states at the Fermi level: 12.96 states/eV per cell. Its density is 4.68 Mg/m³.

=====

Record 9
# Zn3MoS

Zn3MoS after structural relaxation (PBE, Alexandria).

The structure in CIF format:
```
data_Zn3MoS
_chemical_formula_sum 'Zn3 Mo1 S1'
_cell_length_a 5.0122
_cell_length_b 5.0122
_cell_length_c 5.0122
_cell_angle_alpha 90.00
_cell_angle_beta 90.00
_cell_angle_gamma 90.00
_symmetry_space_group_name_H-M 'P m -3 m'
_symmetry_Int_Tables_number 221
_symmetry_space_group_name_Hall '-P 4 2 3'
loop_
_atom_site_label
_atom_site_type_symbol
_atom_site_fract_x
_atom_site_fract_y
_atom_site_fract_z
_atom_site_occupancy
Zn1 Zn 0.0000 0.0000 0.5000 1
Mo1 Mo 0.0000 0.0000 0.0000 1
S1 S 0.5000 0.5000 0.5000 1
```

## Properties
The calculation puts the distance to the lowest polymorph of the same formula at 0.2126 eV/atom. As for the density of states at the Fermi level: 5.13 states/eV per cell. Its density is 4.28 Mg/m³.

=====

Record 10
# ZnMo3S

ZnMo3S after structural relaxation (PBE, Alexandria).

The structure in CIF format:
```
data_ZnMo3S
_chemical_formula_sum 'Zn1 Mo3 S1'
_cell_length_a 4.4148
_cell_length_b 4.4148
_cell_length_c 4.4148
_cell_angle_alpha 90.00
_cell_angle_beta 90.00
_cell_angle_gamma 90.00
_symmetry_space_group_name_H-M 'P m -3 m'
_symmetry_Int_Tables_number 221
_symmetry_space_group_name_Hall '-P 4 2 3'
loop_
_atom_site_label
_atom_site_type_symbol
_atom_site_fract_x
_atom_site_fract_y
_atom_site_fract_z
_atom_site_occupancy
Zn1 Zn 0.0000 0.0000 0.0000 1
Mo1 Mo 0.0000 0.5000 0.5000 1
S1 S 0.5000 0.5000 0.5000 1
```

## Properties
The calculation puts the distance to the lowest polymorph of the same formula at 0.0000 eV/atom. As for the density of states at the Fermi level: 3.17 states/eV per cell. Its density is 7.44 Mg/m³.

=====

no.,ΔE_f (raw) (meV/atom),raw total energy (eV/atom)
1,-760,-7.901
2,-976,-8.117
3,-747,-7.888
4,-786,-7.927
5,55,-6.183
6,-346,-5.436
7,194,-4.896
8,-148,-5.238
9,1223,-2.534
10,502,-7.077